Record 1
# YSiBr3, optimized geometry, DFT PBE-GGA
data_YSiBr3
_chemical_formula_sum 'Y1 Si1 Br3'
_space_group_name_H-M_alt 'P 1'
_space_group_IT_number 1
_space_group_name_Hall 'P 1'
_cell_length_a 5.296
_cell_length_b 5.296
_cell_length_c 5.296
_cell_angle_alpha 90.00
_cell_angle_beta 90.00
_cell_angle_gamma 90.00
loop_
_atom_site_label
_atom_site_type_symbol
_atom_site_fract_x
_atom_site_fract_y
_atom_site_fract_z
_atom_site_occupancy
Y1 Y 0.000 0.000 0.000 1
Si1 Si 0.500 0.500 0.500 1
Br1 Br 0.000 0.500 0.500 1
Br2 Br 0.500 0.000 0.500 1
Br3 Br 0.500 0.500 0.000 1
# E_form (uncorrected) = -0.091 eV/atom
# distance to the lowest polymorph of the same formula = 453.3 meV per atom

Record 2
# YSiBr2, optimized geometry, DFT PBE-GGA
data_YSiBr2
_chemical_formula_sum 'Y1 Si1 Br2'
_space_group_name_H-M_alt 'P 1'
_space_group_IT_number 1
_space_group_name_Hall 'P 1'
_cell_length_a 3.391
_cell_length_b 3.391
_cell_length_c 11.174
_cell_angle_alpha 90.00
_cell_angle_beta 90.00
_cell_angle_gamma 90.00
loop_
_atom_site_label
_atom_site_type_symbol
_atom_site_fract_x
_atom_site_fract_y
_atom_site_fract_z
_atom_site_occupancy
Y1 Y 0.000 0.000 0.000 1
Si1 Si 0.000 0.000 0.500 1
Br1 Br 0.500 0.500 0.156 1
Br2 Br 0.500 0.500 0.844 1
# E_form (uncorrected) = -0.436 eV/atom
# distance to the lowest polymorph of the same formula = 389.3 meV per atom

Record 3
# YSiBr2, optimized geometry, DFT PBE-GGA
data_YSiBr2
_chemical_formula_sum 'Y1 Si1 Br2'
_space_group_name_H-M_alt 'P 1'
_space_group_IT_number 1
_space_group_name_Hall 'P 1'
_cell_length_a 8.285
_cell_length_b 8.285
_cell_length_c 8.285
_cell_angle_alpha 152.29
_cell_angle_beta 149.99
_cell_angle_gamma 41.30
loop_
_atom_site_label
_atom_site_type_symbol
_atom_site_fract_x
_atom_site_fract_y
_atom_site_fract_z
_atom_site_occupancy
Y1 Y 0.000 0.000 0.000 1
Si1 Si 0.500 0.500 0.000 1
Br1 Br 0.144 0.644 0.500 1
Br2 Br 0.856 0.356 0.500 1
# E_form (uncorrected) = -0.706 eV/atom
# distance to the lowest polymorph of the same formula = 119.7 meV per atom

Record 4
# YSiBr2, optimized geometry, DFT PBE-GGA
data_YSiBr2
_chemical_formula_sum 'Y1 Si1 Br2'
_space_group_name_H-M_alt 'P 1'
_space_group_IT_number 1
_space_group_name_Hall 'P 1'
_cell_length_a 10.632
_cell_length_b 10.632
_cell_length_c 10.632
_cell_angle_alpha 19.48
_cell_angle_beta 19.48
_cell_angle_gamma 19.48
loop_
_atom_site_label
_atom_site_type_symbol
_atom_site_fract_x
_atom_site_fract_y
_atom_site_fract_z
_atom_site_occupancy
Y1 Y 0.000 0.000 0.000 1
Si1 Si 0.500 0.500 0.500 1
Br1 Br 0.271 0.271 0.271 1
Br2 Br 0.729 0.729 0.729 1
# E_form (uncorrected) = -0.461 eV/atom
# distance to the lowest polymorph of the same formula = 365.1 meV per atom

Record 5
# YSiBr3, optimized geometry, DFT PBE-GGA
data_YSiBr3
_chemical_formula_sum 'Y1 Si1 Br3'
_space_group_name_H-M_alt 'P 1'
_space_group_IT_number 1
_space_group_name_Hall 'P 1'
_cell_length_a 5.604
_cell_length_b 5.604
_cell_length_c 5.604
_cell_angle_alpha 90.00
_cell_angle_beta 90.00
_cell_angle_gamma 90.00
loop_
_atom_site_label
_atom_site_type_symbol
_atom_site_fract_x
_atom_site_fract_y
_atom_site_fract_z
_atom_site_occupancy
Y1 Y 0.000 0.000 0.000 1
Si1 Si 0.500 0.500 0.500 1
Br1 Br 0.000 0.000 0.500 1
Br2 Br 0.000 0.500 0.000 1
Br3 Br 0.500 0.000 0.000 1
# E_form (uncorrected) = -0.544 eV/atom
# distance to the lowest polymorph of the same formula = 0.0 meV per atom

Record 6
# YSiBr2, optimized geometry, DFT PBE-GGA
data_YSiBr2
_chemical_formula_sum 'Y1 Si1 Br2'
_space_group_name_H-M_alt 'P 1'
_space_group_IT_number 1
_space_group_name_Hall 'P 1'
_cell_length_a 5.346
_cell_length_b 5.346
_cell_length_c 3.520
_cell_angle_alpha 90.00
_cell_angle_beta 90.00
_cell_angle_gamma 105.06
loop_
_atom_site_label
_atom_site_type_symbol
_atom_site_fract_x
_atom_site_fract_y
_atom_site_fract_z
_atom_site_occupancy
Y1 Y 0.000 0.000 0.000 1
Si1 Si 0.500 0.500 0.000 1
Br1 Br 0.000 0.500 0.500 1
Br2 Br 0.500 0.000 0.500 1
# E_form (uncorrected) = -0.230 eV/atom
# distance to the lowest polymorph of the same formula = 595.9 meV per atom

Record 7
# YSiBr2, optimized geometry, DFT PBE-GGA
data_YSiBr2
_chemical_formula_sum 'Y1 Si1 Br2'
_space_group_name_H-M_alt 'P 1'
_space_group_IT_number 1
_space_group_name_Hall 'P 1'
_cell_length_a 5.239
_cell_length_b 5.239
_cell_length_c 5.239
_cell_angle_alpha 60.00
_cell_angle_beta 60.00
_cell_angle_gamma 60.00
loop_
_atom_site_label
_atom_site_type_symbol
_atom_site_fract_x
_atom_site_fract_y
_atom_site_fract_z
_atom_site_occupancy
Y1 Y 0.000 0.000 0.000 1
Si1 Si 0.750 0.750 0.750 1
Br1 Br 0.250 0.250 0.250 1
Br2 Br 0.500 0.500 0.500 1
# E_form (uncorrected) = -0.175 eV/atom
# distance to the lowest polymorph of the same formula = 650.7 meV per atom

Record 8
# YSiBr2, optimized geometry, DFT PBE-GGA
data_YSiBr2
_chemical_formula_sum 'Y1 Si1 Br2'
_space_group_name_H-M_alt 'P 1'
_space_group_IT_number 1
_space_group_name_Hall 'P 1'
_cell_length_a 5.099
_cell_length_b 5.099
_cell_length_c 5.099
_cell_angle_alpha 60.00
_cell_angle_beta 60.00
_cell_angle_gamma 60.00
loop_
_atom_site_label
_atom_site_type_symbol
_atom_site_fract_x
_atom_site_fract_y
_atom_site_fract_z
_atom_site_occupancy
Y1 Y 0.000 0.000 0.000 1
Si1 Si 0.500 0.500 0.500 1
Br1 Br 0.250 0.250 0.250 1
Br2 Br 0.750 0.750 0.750 1
# E_form (uncorrected) = -0.311 eV/atom
# distance to the lowest polymorph of the same formula = 514.2 meV per atom

Record 9
# YSiBr2, optimized geometry, DFT PBE-GGA
data_YSiBr2
_chemical_formula_sum 'Y1 Si1 Br2'
_space_group_name_H-M_alt 'P 1'
_space_group_IT_number 1
_space_group_name_Hall 'P 1'
_cell_length_a 6.187
_cell_length_b 6.187
_cell_length_c 6.187
_cell_angle_alpha 140.34
_cell_angle_beta 140.34
_cell_angle_gamma 57.34
loop_
_atom_site_label
_atom_site_type_symbol
_atom_site_fract_x
_atom_site_fract_y
_atom_site_fract_z
_atom_site_occupancy
Y1 Y 0.000 0.000 0.000 1
Si1 Si 0.750 0.250 0.500 1
Br1 Br 0.250 0.750 0.500 1
Br2 Br 0.500 0.500 0.000 1
# E_form (uncorrected) = -0.383 eV/atom
# distance to the lowest polymorph of the same formula = 443.2 meV per atom

Record 10
# YSi4Br, optimized geometry, DFT PBE-GGA
data_YSi4Br
_chemical_formula_sum 'Y1 Si4 Br1'
_space_group_name_H-M_alt 'P 1'
_space_group_IT_number 1
_space_group_name_Hall 'P 1'
_cell_length_a 5.349
_cell_length_b 5.349
_cell_length_c 5.349
_cell_angle_alpha 60.00
_cell_angle_beta 60.00
_cell_angle_gamma 60.00
loop_
_atom_site_label
_atom_site_type_symbol
_atom_site_fract_x
_atom_site_fract_y
_atom_site_fract_z
_atom_site_occupancy
Y1 Y 0.000 0.000 0.000 1
Si1 Si 0.378 0.378 0.378 1
Si2 Si 0.378 0.378 0.866 1
Si3 Si 0.378 0.866 0.378 1
Si4 Si 0.866 0.378 0.378 1
Br1 Br 0.750 0.750 0.750 1
# E_form (uncorrected) = -0.077 eV/atom

Record 11
# YSiBr2, optimized geometry, DFT PBE-GGA
data_YSiBr2
_chemical_formula_sum 'Y1 Si1 Br2'
_space_group_name_H-M_alt 'P 1'
_space_group_IT_number 1
_space_group_name_Hall 'P 1'
_cell_length_a 7.961
_cell_length_b 7.961
_cell_length_c 4.837
_cell_angle_alpha 94.67
_cell_angle_beta 94.67
_cell_angle_gamma 26.01
loop_
_atom_site_label
_atom_site_type_symbol
_atom_site_fract_x
_atom_site_fract_y
_atom_site_fract_z
_atom_site_occupancy
Y1 Y 0.000 0.000 0.000 1
Si1 Si 0.500 0.500 0.500 1
Br1 Br 0.358 0.358 0.797 1
Br2 Br 0.642 0.642 0.203 1
# E_form (uncorrected) = -0.826 eV/atom
# distance to the lowest polymorph of the same formula = 0.0 meV per atom

Record 12
# Y2ZrSiBr, optimized geometry, DFT PBE-GGA
data_Y2ZrSiBr
_chemical_formula_sum 'Y2 Zr1 Si1 Br1'
_space_group_name_H-M_alt 'P 1'
_space_group_IT_number 1
_space_group_name_Hall 'P 1'
_cell_length_a 5.675
_cell_length_b 5.675
_cell_length_c 4.975
_cell_angle_alpha 90.00
_cell_angle_beta 90.00
_cell_angle_gamma 90.00
loop_
_atom_site_label
_atom_site_type_symbol
_atom_site_fract_x
_atom_site_fract_y
_atom_site_fract_z
_atom_site_occupancy
Y1 Y 0.000 0.500 0.000 1
Y2 Y 0.500 0.000 0.000 1
Zr1 Zr 0.000 0.000 0.000 1
Si1 Si 0.000 0.000 0.500 1
Br1 Br 0.500 0.500 0.500 1
# E_form (uncorrected) = 0.309 eV/atom